Below is crystalline Ta7Co6 at its relaxed geometry, with properties calculated at the GGA-PBE level.

The value obtained for the energy is -9.0843 eV/atom. The calculation puts the total moment at 0.1 μB per formula unit. The value obtained for the polymorph energy (0 for the lowest one) is 0.833 eV/atom. Its formation energy is 0.58 eV/atom.

The structure belongs to space group R-3m (No. 166, hexagonal axes); the cell edges are 5.2769, 5.2769 and 25.4707 Å and the angles 90.00°, 90.00° and 120.00°. The asymmetric unit holds Ta at (0.0000, 0.0000, 0.0000), Ta at (0.0040, 0.5020, 0.4179), Co at (0.0000, 0.0000, 0.1682), Co at (0.0000, 0.0000, 0.3466) and Co at (0.0000, 0.0000, 0.4561).


Below is crystalline Ta7Co8 at its relaxed geometry, with properties calculated at the GGA-PBE level.

The value obtained for the energy is -9.2898 eV/atom. The calculation puts the total moment at 2.7 μB per formula unit. The value obtained for the polymorph energy (0 for the lowest one) is 0.012 eV/atom. Its formation energy is 0.03 eV/atom.

The structure belongs to space group P4_2/mnm (No. 136); the cell edges are 9.0956, 9.0956 and 5.1553 Å and the angles 90.00°, 90.00° and 90.00°. The asymmetric unit holds Ta at (0.0000, 0.0000, 0.0000), Ta at (0.1070, 0.1070, 0.5000), Ta at (0.1950, 0.8050, 0.2537), Co at (0.0313, 0.3690, 0.5000) and Co at (0.0543, 0.2671, 0.0000).


Below is crystalline TaCo12 at its relaxed geometry, with properties calculated at the GGA-PBE level.

The value obtained for the energy is -7.3428 eV/atom. The calculation puts the total moment at 17.1 μB per formula unit. Its formation energy is 0.13 eV/atom.

The structure belongs to space group R-3m (No. 166, hexagonal axes); the cell edges are 4.5993, 4.5993 and 24.7488 Å and the angles 90.00°, 90.00° and 120.00°. The asymmetric unit holds Ta at (0.0000, 0.0000, 0.0000), Co at (0.0000, 0.0000, 0.1638), Co at (0.0000, 0.0000, 0.3528), Co at (0.0000, 0.0000, 0.4544) and Co at (0.0084, 0.5042, 0.4158).


Below is crystalline Ta17Co12 at its relaxed geometry, with properties calculated at the GGA-PBE level.

The value obtained for the energy is -9.9423 eV/atom. The calculation puts the total moment at 0.3 μB per formula unit. The value obtained for the polymorph energy (0 for the lowest one) is 0.000 eV/atom. Its formation energy is -0.05 eV/atom.

The structure belongs to space group I-43m (No. 217); the cell edges are 9.5195, 9.5195 and 9.5195 Å and the angles 90.00°, 90.00° and 90.00°. The asymmetric unit holds Ta at (0.0000, 0.0000, 0.0000), Ta at (0.0410, 0.3557, 0.6443), Ta at (0.1681, 0.1681, 0.1681) and Co at (0.0927, 0.0927, 0.7205).


Below is crystalline Ta2Co11 at its relaxed geometry, with properties calculated at the GGA-PBE level.

The value obtained for the energy is -7.7625 eV/atom. The calculation puts the total moment at 15.7 μB per formula unit. The value obtained for the polymorph energy (0 for the lowest one) is 0.086 eV/atom. Its formation energy is 0.07 eV/atom.

The structure belongs to space group R-3m (No. 166, hexagonal axes); the cell edges are 4.6774, 4.6774 and 24.7187 Å and the angles 90.00°, 90.00° and 120.00°. The asymmetric unit holds Ta at (0.0000, 0.0000, 0.1654), Co at (0.0000, 0.0000, 0.0000), Co at (0.0000, 0.0000, 0.3513), Co at (0.0000, 0.0000, 0.4517) and Co at (0.0076, 0.5038, 0.4081).


Below is crystalline Ta12Co at its relaxed geometry, with properties calculated at the GGA-PBE level.

The value obtained for the energy is -11.4208 eV/atom. The calculation puts the total moment at 0.0 μB per formula unit. Its formation energy is 0.07 eV/atom.

The structure belongs to space group R-3m (No. 166, hexagonal axes); the cell edges are 5.4097, 5.4097 and 27.9396 Å and the angles 90.00°, 90.00° and 120.00°. The asymmetric unit holds Ta at (0.0000, 0.0000, 0.0462), Ta at (0.0000, 0.0000, 0.1487), Ta at (0.0000, 0.0000, 0.3330), Ta at (0.0013, 0.5006, 0.9073) and Co at (0.0000, 0.0000, 0.5000).


Below is crystalline Ta6Co7 at its relaxed geometry, with properties calculated at the GGA-PBE level.

The value obtained for the energy is -9.5403 eV/atom. The calculation puts the total moment at 0.2 μB per formula unit. The value obtained for the polymorph energy (0 for the lowest one) is 0.000 eV/atom. Its formation energy is -0.24 eV/atom.

The structure belongs to space group R-3m (No. 166, hexagonal axes); the cell edges are 4.8401, 4.8401 and 26.0465 Å and the angles 90.00°, 90.00° and 120.00°. The asymmetric unit holds Ta at (0.0000, 0.0000, 0.0512), Ta at (0.0000, 0.0000, 0.1569), Ta at (0.0000, 0.0000, 0.3360), Co at (0.0000, 0.0000, 0.5000) and Co at (0.0023, 0.5012, 0.0907).


Below is crystalline TaCo3 at its relaxed geometry, with properties calculated at the GGA-PBE level.

The value obtained for the energy is -8.5190 eV/atom. The calculation puts the total moment at 0.0 μB per formula unit. Its formation energy is -0.23 eV/atom.

The structure belongs to space group P6_3/mmc (No. 194); the cell edges are 5.1583, 5.1583 and 4.1485 Å and the angles 90.00°, 90.00° and 120.00°. The asymmetric unit holds Ta at (0.3333, 0.6667, 0.2500) and Co at (0.1582, 0.3164, 0.7500).